1.
An optimized crystal structure of Na5B8C2, computed with PBE.

```
Na5B8C2
1.0
8.639 0.239 -3.028
8.098 3.018 -3.028
-0.715 -0.139 13.621
B Na C
16 10 4
Cartesian
2.704 0.526 0.088
0.285 0.055 4.022
12.673 2.466 -0.759
5.887 1.145 4.481
3.698 0.720 1.444
8.769 1.706 8.524
10.048 1.955 2.938
10.500 2.043 -3.717
13.424 2.612 7.625
15.796 3.074 3.629
7.223 1.405 -0.979
6.835 1.330 5.811
13.634 2.653 0.575
3.329 0.648 8.285
12.362 2.405 6.181
2.347 0.457 6.911
13.322 2.592 -3.485
6.485 1.262 1.642
6.112 1.189 8.531
9.897 1.926 -0.947
12.967 2.523 3.340
16.357 3.183 0.752
3.070 0.597 4.189
9.549 1.858 5.909
2.708 0.527 11.067
0.003 0.001 0.018
9.145 1.779 1.675
16.072 3.127 -3.345
5.541 1.078 11.308
-0.050 -0.010 10.944
```


2.
An optimized crystal structure of Na5B8C2, computed with PBE.

```
Na5B8C2
1.0
-3.419 6.876 -1.120
-1.185 -7.616 -0.922
-3.439 -0.422 7.906
Na C B
10 4 16
Cartesian
-3.795 -2.024 2.928
-4.689 3.769 2.852
-1.628 -4.721 -0.926
-3.323 -4.929 2.970
-2.521 1.087 -1.028
-5.130 6.657 2.815
-4.233 0.876 2.908
-2.094 -1.815 -0.982
-3.426 6.866 -1.102
-2.986 3.979 -1.064
-1.398 -1.678 1.659
-4.354 2.302 0.585
-3.922 -0.596 0.618
-6.246 -2.390 4.224
-3.101 -1.883 5.619
-4.860 0.725 0.281
-6.068 2.156 4.544
-3.464 -3.479 0.664
-1.893 -3.232 1.360
-4.480 2.323 5.244
-2.935 2.528 1.214
-3.528 0.953 5.585
-3.703 -3.493 5.271
-6.575 0.560 4.238
-2.433 -0.429 1.275
-5.698 -0.950 4.540
-4.158 -0.548 5.231
-5.289 -3.586 4.577
-4.533 -2.111 0.272
-1.827 1.209 1.626
```


3.
An optimized crystal structure of Na5B8C2, computed with PBE.

```
Na5B8C2
1.0
-1.192 -2.603 0.654
2.725 0.136 -1.086
15.777 2.814 39.919
Na B C
10 16 4
Cartesian
7.869 1.403 19.911
9.466 1.688 23.952
1.578 0.281 3.992
12.615 2.250 31.918
3.175 0.566 8.033
6.318 1.127 15.985
11.063 1.973 27.992
14.206 2.534 35.944
15.758 2.810 39.870
4.726 0.843 11.959
11.685 1.054 25.469
8.780 -0.144 22.002
2.197 -0.638 1.462
10.086 0.769 21.422
0.892 -1.551 2.042
14.830 1.615 33.425
4.062 -0.986 10.065
13.256 1.334 29.444
3.797 -0.353 5.510
2.491 -1.266 6.090
6.941 0.208 13.466
5.636 -0.705 14.046
7.209 -0.424 18.027
16.403 1.895 37.407
13.524 0.702 34.006
10.380 0.141 26.049
8.515 0.488 17.448
11.950 0.421 30.023
5.367 -0.073 9.484
15.098 0.983 37.988
```


no.,total magnetization (μB/f.u.),energy relative to the lowest polymorph listed for this composition (eV per atom)
1,0.00,0.016
2,0.00,0.040
3,0.00,0.053